Record 1
# Ba4BiSe2Br

An optimized crystal structure of Ba4BiSe2Br (PBE-GGA, the Alexandria database).

Summary:
formation energy without anion corrections	-1711.7	meV/atom
final energy	-4.238	eV/atom

Cell: 6.861 6.861 8.423 Å, 113.99 113.99 90.10°
Sites, in units of the cell vectors:
Ba 0.937 0.437 0.000
Ba 0.437 0.937 0.000
Ba 0.690 0.690 0.506
Ba 0.184 0.184 0.494
Br 0.438 0.438 0.000
Se 0.687 0.187 0.500
Se 0.187 0.687 0.500
Bi 0.937 0.937 0.000


Record 2
# Ca3ScRh

An optimized crystal structure of Ca3ScRh (PBE-GGA, the Alexandria database).

Summary:
formation energy from the elements	0.053	eV/atom
final energy	-3.884	eV/atom

Cell: 5.456 5.456 5.456 Å, 90.00 90.00 90.00°
Sites, in units of the cell vectors:
Ca 0.500 0.000 0.000
Ca 0.000 0.500 0.000
Ca 0.000 0.000 0.500
Sc 0.500 0.500 0.500
Rh 0.000 0.000 0.000


Record 3
# Na3RuF

An optimized crystal structure of Na3RuF (PBE-GGA, the Alexandria database).

Summary:
formation energy without anion corrections	-273.0	meV/atom
final energy	-3.294	eV/atom

Cell: 4.647 4.647 4.647 Å, 90.00 90.00 90.00°
Last column: magnetic moment on the atom in μB.
Sites, in units of the cell vectors:
Na 0.000 0.000 0.500  -0.01
Na 0.500 0.000 0.000  -0.01
Na 0.000 0.500 0.000  -0.01
Ru 0.500 0.500 0.500  1.96
F 0.000 0.000 0.000  0.00


Record 4
# TbHoCd6

An optimized crystal structure of TbHoCd6 (PBE-GGA, the Alexandria database).

Summary:
formation energy from the elements	-0.280	eV/atom
final energy	-2.117	eV/atom

Cell: 4.884 6.516 6.516 Å, 113.46 90.00 90.00°
Sites, in units of the cell vectors:
Cd 0.000 0.061 0.372
Cd 0.500 0.873 0.562
Cd 0.500 0.925 0.075
Cd 0.000 0.628 0.939
Cd 0.500 0.438 0.127
Cd 0.000 0.576 0.424
Tb 0.500 0.385 0.615
Ho 0.000 0.114 0.886


Record 5
# Ca2VReTe

An optimized crystal structure of Ca2VReTe (PBE-GGA, the Alexandria database).

Summary:
formation energy without anion corrections	603.0	meV/atom
final energy	-5.139	eV/atom

Cell: 5.738 4.407 5.738 Å, 90.00 90.00 90.00°
Last column: magnetic moment on the atom in μB.
Sites, in units of the cell vectors:
Ca 0.500 0.000 0.000  0.08
Ca 0.000 0.000 0.500  0.07
Te 0.500 0.500 0.500  0.01
Re 0.000 0.500 0.000  -1.20
V 0.000 0.000 0.000  1.57


Record 6
# AcAl3Os

An optimized crystal structure of AcAl3Os (PBE-GGA, the Alexandria database).

Summary:
formation energy from the elements	-0.112	eV/atom
final energy	-5.426	eV/atom

Cell: 4.834 4.834 9.781 Å, 90.00 90.00 120.00°
Sites, in units of the cell vectors:
Al 0.667 0.333 0.928
Al 0.333 0.667 0.072
Al 0.000 0.000 0.250
Al 0.333 0.667 0.428
Al 0.000 0.000 0.750
Al 0.667 0.333 0.572
Ac 0.333 0.667 0.750
Ac 0.667 0.333 0.250
Os 0.000 0.000 0.000
Os 0.000 0.000 0.500


Record 7
# Rb2CoCuCl6

An optimized crystal structure of Rb2CoCuCl6 (PBE-GGA, the Alexandria database).

Summary:
formation energy without anion corrections	-1101.0	meV/atom
final energy	-3.523	eV/atom

Cell: 6.869 6.843 7.177 Å, 118.32 118.60 90.00°
Last column: magnetic moment on the atom in μB.
Sites, in units of the cell vectors:
Rb 0.250 0.750 0.500  0.00
Rb 0.750 0.250 0.500  0.00
Cu 0.500 0.500 0.000  -0.27
Cl 0.785 0.785 0.570  0.04
Cl 0.740 0.741 0.000  -0.01
Cl 0.260 0.259 0.000  -0.01
Cl 0.740 0.260 0.000  -0.01
Cl 0.215 0.215 0.429  0.04
Cl 0.260 0.741 0.000  -0.01
Co 0.000 0.000 0.000  2.25


Record 8
# Li2MnB

An optimized crystal structure of Li2MnB (PBE-GGA, the Alexandria database).

Summary:
formation energy from the elements	0.531	eV/atom
final energy	-4.387	eV/atom

Cell: 6.866 6.866 5.296 Å, 49.59 49.59 90.00°
Last column: magnetic moment on the atom in μB.
Sites, in units of the cell vectors:
B 0.500 0.500 0.000  -0.23
B 0.250 0.750 0.500  -0.22
Li 0.875 0.807 0.750  -0.02
Li 0.375 0.443 0.750  -0.03
Li 0.557 0.125 0.250  -0.02
Li 0.193 0.625 0.250  -0.02
Mn 0.750 0.250 0.500  3.14
Mn 0.000 0.000 0.000  3.14


Record 9
# Er7Ni2Pb2

An optimized crystal structure of Er7Ni2Pb2 (PBE-GGA, the Alexandria database).

Summary:
formation energy from the elements	-0.237	eV/atom
final energy	-4.866	eV/atom

Cell: 6.768 7.035 6.768 Å, 90.00 107.44 90.00°
Sites, in units of the cell vectors:
Er 0.000 0.238 0.500
Er 0.500 0.762 0.000
Er 0.500 0.775 0.500
Er 0.000 0.000 0.000
Er 0.000 0.762 0.500
Er 0.500 0.238 0.000
Er 0.500 0.225 0.500
Ni 0.711 0.000 0.289
Ni 0.289 0.000 0.711
Pb 0.190 0.500 0.190
Pb 0.810 0.500 0.810


Record 10
# PRhC

An optimized crystal structure of PRhC (PBE-GGA, the Alexandria database).

Summary:
formation energy from the elements	0.222	eV/atom
final energy	-7.107	eV/atom

Cell: 5.442 2.846 4.937 Å, 90.00 108.10 90.00°
Sites, in units of the cell vectors:
Rh 0.441 0.500 0.866
Rh 0.441 0.000 0.366
P 0.998 0.000 0.218
P 0.998 0.500 0.718
C 0.855 0.500 0.002
C 0.855 0.000 0.502


Record 11
# La2NdErTm

An optimized crystal structure of La2NdErTm (PBE-GGA, the Alexandria database).

Summary:
formation energy from the elements	0.365	eV/atom
final energy	-4.366	eV/atom

Cell: 6.513 6.515 8.940 Å, 111.37 90.00 90.00°
Sites, in units of the cell vectors:
Tm 0.250 0.249 0.498
Tm 0.750 0.751 0.502
Nd 0.750 0.340 0.681
Nd 0.250 0.660 0.319
La 0.500 0.249 0.000
La 0.500 0.751 0.000
La 0.000 0.751 0.000
La 0.000 0.249 0.000
Er 0.250 0.843 0.686
Er 0.750 0.157 0.314


Record 12
# AlInAs

An optimized crystal structure of AlInAs (PBE-GGA, the Alexandria database).

Summary:
formation energy from the elements	0.327	eV/atom
final energy	-3.383	eV/atom

Cell: 4.767 4.767 4.767 Å, 60.00 60.00 60.00°
Sites, in units of the cell vectors:
As 0.500 0.500 0.500
Al 0.000 0.000 0.000
In 0.750 0.750 0.750